No. 1
## Sr2TlAg (meta-GGA SCAN)

Data for Sr2TlAg at its PBEsol-relaxed geometry.

Properties
Calculated volume = 120.58 Å³ per cell
DFT formation energy = -430 meV/atom

Lattice parameters (Å, degrees): 5.6034 5.6034 3.8403 90.00 90.00 90.00
With the nearest neighbours (Å) after each atom.
Space group P4/mmm (No. 123)
Inequivalent atoms, fractional coordinates:
Sr (0.0000, 0.5000, 0.0000)  4 Ag 3.40, 4 Tl 3.40
Tl (0.0000, 0.0000, 0.5000)  8 Sr 3.40
Ag (0.5000, 0.5000, 0.5000)  8 Sr 3.40



No. 2
## LiNiP3O9 (meta-GGA SCAN)

Data for LiNiP3O9 at its PBEsol-relaxed geometry.

Properties
Calculated volume = 664.28 Å³ per cell
Raw total energy = -9.83 eV/atom

Lattice parameters (Å, degrees): 9.2516 9.3163 9.5559 108.92 105.40 109.86
With the nearest neighbours (Å) after each atom.
Space group P-1 (No. 2)
Inequivalent atoms, fractional coordinates:
Li (0.0517, 0.3201, 0.2075)  4 O 1.88-1.97
Li (0.2373, 0.7584, 0.7250)  4 O 1.88-2.09
Ni (0.3377, 0.9402, 0.5127)  5 O 1.90-2.06
Ni (0.3944, 0.1687, 0.3147)  5 O 1.99-2.18
P (0.0110, 0.3791, 0.6323)  4 O 1.48-1.60
P (0.0488, 0.7990, 0.1655)  4 O 1.46-1.60
P (0.2008, 0.0669, 0.9150)  4 O 1.48-1.63
P (0.3332, 0.4323, 0.5860)  4 O 1.50-1.63
P (0.4028, 0.6582, 0.2873)  4 O 1.46-1.59
P (0.4700, 0.8622, 0.1087)  4 O 1.46-1.61
O (0.0150, 0.3561, 0.7906)  2 P 1.59-1.60
O (0.0447, 0.5567, 0.6680)  1 P 1.48
O (0.0683, 0.7412, 0.0130)  1 P 1.46
O (0.1004, 0.8823, 0.7971)  1 P 1.48
O (0.1078, 0.1646, 0.8502)  2 P 1.58-1.60
O (0.1515, 0.7682, 0.5109)  1 P 1.52
O (0.1629, 0.3457, 0.6055)  2 P 1.60
O (0.2089, 0.9516, 0.3173)  1 P 1.55
O (0.2459, 0.5249, 0.2643)  1 P 1.46
O (0.2534, 0.1326, 0.0952)  1 P 1.50
O (0.3097, 0.3245, 0.4183)  1 P 1.50
O (0.3614, 0.1524, 0.8765)  2 P 1.58-1.63
O (0.3685, 0.8351, 0.9476)  1 P 1.46
O (0.3747, 0.7026, 0.1393)  2 P 1.58-1.61
O (0.3934, 0.6219, 0.6467)  1 P 1.50
O (0.4520, 0.3959, 0.7148)  2 P 1.59-1.63
O (0.4795, 0.9737, 0.7384)  1 P 1.55
O (0.4843, 0.8318, 0.4490)  1 P 1.58



No. 3
## Li2CuAg (meta-GGA SCAN)

Data for Li2CuAg at its PBEsol-relaxed geometry.

Properties
Calculated volume = 110.80 Å³ per cell
DFT formation energy = -89 meV/atom

Lattice parameters (Å, degrees): 3.8604 3.8604 7.4349 90.00 90.00 90.00
With the nearest neighbours (Å) after each atom.
Space group I-4m2 (No. 119)
Inequivalent atoms, fractional coordinates:
Li (0.0000, 0.0000, 0.0000)  4 Li 2.68, 4 Ag 2.68, 4 Cu 2.73
Li (0.0000, 0.5000, 0.2500)  4 Li 2.68, 4 Cu 2.68, 4 Ag 2.73
Cu (0.0000, 0.0000, 0.5000)  8 Li 2.68-2.73, 4 Ag 2.68
Ag (0.0000, 0.5000, 0.7500)  8 Li 2.68-2.73, 4 Cu 2.68



No. 4
## CaAg2Au (meta-GGA SCAN)

Data for CaAg2Au at its PBEsol-relaxed geometry.

Properties
Calculated volume = 311.38 Å³ per cell
DFT formation energy = -386 meV/atom

Lattice parameters (Å, degrees): 6.7779 6.7779 6.7779 90.00 90.00 90.00
With the nearest neighbours (Å) after each atom.
Space group F-43m (No. 216)
Inequivalent atoms, fractional coordinates:
Ca (0.0000, 0.0000, 0.0000)  4 Au 2.93, 4 Ag 2.93
Ag (0.0000, 0.0000, 0.5000)  4 Ag 2.93, 4 Au 2.93
Ag (0.2500, 0.2500, 0.7500)  4 Ca 2.93, 4 Ag 2.93
Au (0.2500, 0.2500, 0.2500)  4 Ag 2.93, 4 Ca 2.93



No. 5
## ReMoPt3 (meta-GGA SCAN)

Data for ReMoPt3 at its PBEsol-relaxed geometry.

Properties
Calculated volume = 102.30 Å³ per cell
DFT formation energy = 1917 meV/atom

Lattice parameters (Å, degrees): 4.6769 4.6769 4.6769 90.00 90.00 90.00
With the nearest neighbours (Å) after each atom.
Space group Pm-3m (No. 221)
Inequivalent atoms, fractional coordinates:
Re (0.0000, 0.0000, 0.0000)  12 Pt 3.31
Mo (0.5000, 0.5000, 0.5000)  6 Pt 2.34
Pt (0.0000, 0.5000, 0.5000)  2 Mo 2.34



No. 6
## ScCr2HSe (meta-GGA SCAN)

Data for ScCr2HSe at its PBEsol-relaxed geometry.

Properties
Calculated volume = 61.69 Å³ per cell
Raw total energy = -14.82 eV/atom

Lattice parameters (Å, degrees): 3.5790 3.5790 4.8160 90.00 90.00 90.00
With the nearest neighbours (Å) after each atom.
Space group P4/mmm (No. 123)
Inequivalent atoms, fractional coordinates:
Sc (0.0000, 0.0000, 0.0000)  4 Se 2.53
Cr (0.0000, 0.5000, 0.5000)  2 H 1.79
H (0.5000, 0.5000, 0.5000)  4 Cr 1.79
Se (0.5000, 0.5000, 0.0000)  2 H 2.41, 4 Sc 2.53



No. 7
## Eu2N (meta-GGA SCAN)

Data for Eu2N at its PBEsol-relaxed geometry.

Properties
Calculated volume = 132.45 Å³ per cell
Raw total energy = -39.74 eV/atom

Lattice parameters (Å, degrees): 6.0817 6.0817 3.5809 90.00 90.00 90.00
With the nearest neighbours (Å) after each atom.
Space group P4_2/mnm (No. 136)
Inequivalent atoms, fractional coordinates:
Eu (0.1976, 0.1976, 0.0000)  3 N 2.47-2.60
N (0.0000, 0.0000, 0.5000)  6 Eu 2.47-2.60



No. 8
## ZnNiIr2 (meta-GGA SCAN)

Data for ZnNiIr2 at its PBEsol-relaxed geometry.

Properties
Calculated volume = 104.36 Å³ per cell
DFT formation energy = -95 meV/atom

Lattice parameters (Å, degrees): 8.7604 2.7123 4.4660 90.00 100.46 90.00
With the nearest neighbours (Å) after each atom.
Space group Cm (No. 8)
Inequivalent atoms, fractional coordinates:
Zn (0.0000, 0.0000, 0.0000)  3 Ni 2.54-2.61, 7 Ir 2.59-2.74, 2 Zn 2.71
Ni (0.2492, 0.0000, 0.7839)  3 Zn 2.54-2.61, 7 Ir 2.59-2.73, 2 Ni 2.71
Ir (0.0029, 0.5000, 0.5077)  5 Ir 2.57-2.71, 4 Zn 2.59-2.64, 3 Ni 2.66-2.73
Ir (0.2559, 0.5000, 0.2928)  5 Ir 2.57-2.71, 4 Ni 2.59-2.64, 3 Zn 2.70-2.74



No. 9
## TcB2 (meta-GGA SCAN)

Data for TcB2 at its PBEsol-relaxed geometry.

Properties
Calculated volume = 53.00 Å³ per cell
DFT formation energy = -469 meV/atom

Lattice parameters (Å, degrees): 2.8740 2.8740 7.4097 90.00 90.00 120.00
With the nearest neighbours (Å) after each atom.
Space group P6_3/mmc (No. 194)
Inequivalent atoms, fractional coordinates:
Tc (0.3333, 0.6667, 0.2500)  8 B 2.21-2.23
B (0.3333, 0.6667, 0.5487)  3 B 1.81



No. 10
## CaSnBi3 (meta-GGA SCAN)

Data for CaSnBi3 at its PBEsol-relaxed geometry.

Properties
Calculated volume = 184.44 Å³ per cell
DFT formation energy = 629 meV/atom

Lattice parameters (Å, degrees): 5.6922 5.6922 5.6922 90.00 90.00 90.00
With the nearest neighbours (Å) after each atom.
Space group Pm-3m (No. 221)
Inequivalent atoms, fractional coordinates:
Ca (0.0000, 0.0000, 0.0000)  6 Bi 2.85
Sn (0.5000, 0.5000, 0.5000)  12 Bi 4.03
Bi (0.0000, 0.0000, 0.5000)  2 Ca 2.85



No. 11
## Sc2FeAu (meta-GGA SCAN)

Data for Sc2FeAu at its PBEsol-relaxed geometry.

Properties
Calculated volume = 210.78 Å³ per cell
DFT formation energy = -178 meV/atom

Lattice parameters (Å, degrees): 3.1900 3.1900 23.9179 90.00 90.00 120.00
With the nearest neighbours (Å) after each atom.
Space group R-3m (No. 166, hexagonal axes)
Inequivalent atoms, fractional coordinates:
Sc (0.0000, 0.0000, 0.2406)  3 Fe 2.55
Fe (0.0000, 0.0000, 0.5000)  6 Sc 2.55
Au (0.0000, 0.0000, 0.0000)  6 Sc 2.88, 6 Au 3.19



No. 12
## Zr2Ni2Pb (meta-GGA SCAN)

Data for Zr2Ni2Pb at its PBEsol-relaxed geometry.

Properties
Calculated volume = 184.76 Å³ per cell
DFT formation energy = -247 meV/atom

Lattice parameters (Å, degrees): 3.3553 3.3553 16.4121 90.00 90.00 90.00
With the nearest neighbours (Å) after each atom.
Space group I4/mmm (No. 139)
Inequivalent atoms, fractional coordinates:
Zr (0.0000, 0.0000, 0.1294)  4 Ni 2.59
Ni (0.0000, 0.5000, 0.2500)  4 Ni 2.37, 4 Zr 2.59
Pb (0.0000, 0.0000, 0.5000)  8 Zr 3.18, 4 Pb 3.36